--- i ---
The following is a DFT calculation (PBE) of crystalline KCd4Hg2 at its relaxed geometry.

Results
M_tot (μB/f.u.): 0.00

Structure (extended XYZ):
```
7
Lattice="2.412 1.393 9.995 -2.412 1.393 9.995 0.000 -2.786 9.995" Properties=species:S:1:pos:R:3 pbc="T T T"
K 0.000 0.000 0.000
Cd 0.000 0.000 4.431
Cd 0.000 0.000 13.291
Cd 0.000 0.000 16.694
Cd 0.000 0.000 25.554
Hg 0.000 0.000 7.871
Hg 0.000 0.000 22.113
```

--- ii ---
The following is a DFT calculation (PBE) of crystalline KCd4Hg2 at its relaxed geometry.

Results
M_tot (μB/f.u.): 0.00

Structure (extended XYZ):
```
7
Lattice="2.336 -9.013 0.000 2.336 9.013 0.000 0.000 0.000 4.541" Properties=species:S:1:pos:R:3 pbc="T T T"
K 0.000 0.000 0.000
Cd 2.336 5.660 2.271
Cd 2.336 3.459 0.000
Cd 2.336 -3.459 0.000
Cd 2.336 -5.660 2.271
Hg 2.336 1.463 2.271
Hg 2.336 -1.463 2.271
```

Which one is the least stable? From the structures above, i.